1.
4
Lattice="-0.501 -1.692 -2.548 2.588 1.141 -1.267 3.734 -5.343 2.814" Properties=species:S:1:pos:R:3 comment="CoPtBr2 | the Alexandria database | GGA-PBEsol | relaxed" n_ef_per_ev_atom=1.3298 magmom_total_mub_per_fu=2.6 raw_formation_energy_ev_per_atom=0.76 relative_energy_mev_per_atom=717 space_group=P4/mmm pbc="T T T"
Co 1.044 -0.275 -1.908
Br 2.902 -4.152 2.187
Br 0.832 -1.191 0.627
Pt 2.911 -2.947 -0.501

=====

2.
28
Lattice="7.408 0.000 0.000 0.000 9.668 0.000 0.000 0.000 13.128" Properties=species:S:1:pos:R:3 comment="Rb2CoBr4 | the Alexandria database | GGA-PBEsol | relaxed" magmom_total_mub_per_fu=3.0 raw_formation_energy_ev_per_atom=-1.10 space_group=Pnma pbc="T T T"
Rb 5.556 8.444 12.026
Rb 1.852 1.224 1.102
Rb 5.556 3.610 7.666
Rb 1.852 6.058 5.462
Rb 5.556 5.041 2.202
Rb 1.852 4.627 10.926
Rb 5.556 0.207 4.362
Rb 1.852 9.461 8.766
Co 5.556 7.444 7.543
Co 5.556 2.610 12.149
Co 1.852 7.058 0.979
Co 1.852 2.224 5.585
Br 3.654 1.670 11.143
Br 7.358 7.998 1.985
Br 0.050 6.504 8.548
Br 3.754 3.164 4.579
Br 3.654 6.504 8.548
Br 3.754 7.998 1.985
Br 7.358 3.164 4.579
Br 0.050 1.670 11.143
Br 1.852 9.553 5.314
Br 5.556 0.115 7.814
Br 1.852 4.719 1.250
Br 5.556 4.949 11.878
Br 1.852 3.032 7.804
Br 5.556 6.636 5.324
Br 1.852 7.866 11.888
Br 5.556 1.802 1.240

=====

3.
10
Lattice="6.036 0.000 0.000 0.000 7.271 0.000 0.000 -3.635 6.297" Properties=species:S:1:pos:R:3 comment="RbCoBr3 | the Alexandria database | GGA-PBEsol | relaxed" n_ef_per_ev_atom=1.1789 magmom_total_mub_per_fu=3.0 raw_formation_energy_ev_per_atom=-0.86 space_group=P6_3/mmc pbc="T T T"
Rb 4.527 0.000 4.198
Rb 1.509 3.635 2.099
Co 3.018 0.000 0.000
Co 0.000 0.000 0.000
Br 1.509 1.877 5.282
Br 4.527 1.758 1.015
Br 1.509 0.000 2.030
Br 4.527 3.635 4.266
Br 1.509 -1.877 5.282
Br 4.527 5.513 1.015

=====

4.
4
Lattice="-2.144 0.806 -1.639 -2.574 -1.063 0.424 -3.199 5.868 4.650" Properties=species:S:1:pos:R:3 comment="Co2ReBr | the Alexandria database | GGA-PBEsol | relaxed" n_ef_per_ev_atom=1.1664 magmom_total_mub_per_fu=3.0 raw_formation_energy_ev_per_atom=0.72 relative_energy_mev_per_atom=0 space_group=R3m pbc="T T T"
Re -3.985 2.906 1.802
Co -3.178 5.791 4.585
Co -5.951 4.260 2.620
Br -1.959 1.329 0.796

=====

5.
4
Lattice="4.217 0.000 0.000 2.109 3.652 0.000 2.109 1.217 3.443" Properties=species:S:1:pos:R:3 comment="Co2ReBr | the Alexandria database | GGA-PBEsol | relaxed" n_ef_per_ev_atom=1.4342 magmom_total_mub_per_fu=0.0 raw_formation_energy_ev_per_atom=1.17 relative_energy_mev_per_atom=451 space_group=Fm-3m pbc="T T T"
Re 4.217 2.435 1.722
Co 2.109 1.217 0.861
Co 6.326 3.652 2.582
Br 0.000 0.000 0.000

=====

6.
4
Lattice="2.889 0.000 0.000 0.000 3.357 0.000 0.000 0.000 5.951" Properties=species:S:1:pos:R:3 comment="CoRh2Br | the Alexandria database | GGA-PBEsol | relaxed" n_ef_per_ev_atom=1.4113 magmom_total_mub_per_fu=2.3 raw_formation_energy_ev_per_atom=0.56 relative_energy_mev_per_atom=49 space_group=Pmm2 pbc="T T T"
Co 1.444 1.678 4.632
Rh 0.000 0.000 5.842
Rh 1.444 1.678 1.333
Br 0.000 0.000 3.071

=====

7.
4
Lattice="-1.690 -1.846 1.241 2.741 -0.431 -0.054 0.832 4.335 7.581" Properties=species:S:1:pos:R:3 comment="CoRh2Br | the Alexandria database | GGA-PBEsol | relaxed" n_ef_per_ev_atom=1.5594 magmom_total_mub_per_fu=2.7 raw_formation_energy_ev_per_atom=0.65 relative_energy_mev_per_atom=142 space_group=Cmmm pbc="T T T"
Co -0.845 -0.923 0.621
Rh 0.642 3.344 5.848
Rh 0.190 0.991 1.733
Br -0.429 1.244 4.411

=====

8.
4
Lattice="-1.061 1.263 -2.315 -2.525 -0.806 -1.028 -4.895 5.714 3.617" Properties=species:S:1:pos:R:3 comment="CoRh2Br | the Alexandria database | GGA-PBEsol | relaxed" n_ef_per_ev_atom=1.2959 magmom_total_mub_per_fu=2.8 raw_formation_energy_ev_per_atom=0.51 relative_energy_mev_per_atom=0 space_group=R-3m pbc="T T T"
Co 0.000 0.000 0.000
Rh -2.067 1.463 0.001
Rh -6.414 4.708 0.273
Br -4.241 3.086 0.137

=====

9.
4
Lattice="2.869 0.000 0.000 0.000 4.443 0.000 0.000 0.000 4.443" Properties=species:S:1:pos:R:3 comment="CoRh2Br | the Alexandria database | GGA-PBEsol | relaxed" n_ef_per_ev_atom=1.7813 magmom_total_mub_per_fu=3.2 raw_formation_energy_ev_per_atom=0.66 relative_energy_mev_per_atom=152 space_group=P4/mmm pbc="T T T"
Co 1.435 0.000 0.000
Rh 0.000 0.000 2.221
Rh 0.000 2.221 0.000
Br 1.435 2.221 2.221

=====

10.
4
Lattice="4.487 0.000 0.000 2.244 3.886 0.000 2.244 1.295 3.664" Properties=species:S:1:pos:R:3 comment="CoRhBr2 | the Alexandria database | GGA-PBEsol | relaxed" n_ef_per_ev_atom=1.7668 magmom_total_mub_per_fu=1.6 raw_formation_energy_ev_per_atom=0.69 space_group=Fm-3m pbc="T T T"
Co 0.000 0.000 0.000
Rh 4.487 2.591 1.832
Br 6.731 3.886 2.748
Br 2.244 1.295 0.916

=====

11.
5
Lattice="4.202 0.000 0.000 0.000 5.669 0.000 0.000 0.000 5.669" Properties=species:S:1:pos:R:3 comment="Sr2CoRhBr | the Alexandria database | GGA-PBEsol | relaxed" n_ef_per_ev_atom=0.9028 magmom_total_mub_per_fu=1.0 raw_formation_energy_ev_per_atom=0.31 space_group=P4/mmm pbc="T T T"
Sr 0.000 0.000 2.834
Sr 0.000 2.834 0.000
Rh 2.101 2.834 2.834
Br 0.000 0.000 0.000
Co 2.101 0.000 0.000

=====

12.
5
Lattice="-3.905 1.922 -1.539 -1.076 -3.978 -2.236 -2.257 -1.532 3.813" Properties=species:S:1:pos:R:3 comment="Co2TeRhBr | the Alexandria database | GGA-PBEsol | relaxed" n_ef_per_ev_atom=1.9670 magmom_total_mub_per_fu=4.7 raw_formation_energy_ev_per_atom=1.14 space_group=P4/mmm pbc="T T T"
Co -1.129 -0.766 1.907
Co -0.538 -1.989 -1.118
Te -3.619 -1.794 0.019
Rh 0.000 0.000 0.000
Br -1.952 0.961 -0.770